[1]
ZrIr3S | SCAN | PBEsol geometry

ρ   10.60 g/cm³
Space group   No. 221
N(E_F)   5.0 states/eV per cell
Magnetic moment   2.48 μB/cell
Raw total energy   -242.6 eV per formula unit
Formation energy from raw total energies   2213 meV/atom

a b c (Å): 4.7860 4.7860 4.7860
angles (deg): 90.00 90.00 90.00
Closest atoms and distances in Å follow each position.
Sites, in units of the cell vectors:
Ir 0.0000 0.5000 0.0000  2 Zr 2.39
S 0.5000 0.5000 0.5000  12 Ir 3.38
Ir 0.0000 0.0000 0.5000  2 Zr 2.39
Zr 0.0000 0.0000 0.0000  6 Ir 2.39
Ir 0.5000 0.0000 0.0000  2 Zr 2.39

***

[2]
LiAlAg4 | SCAN | PBEsol geometry

ρ   7.06 g/cm³
Space group   No. 216
N(E_F)   2.3 states/eV per cell
Magnetic moment   0.00 μB/cell
Raw total energy   -135.2 eV per formula unit
Energy of formation from the pure elements   0.063 eV/atom

a b c (Å): 5.3692 5.3692 5.3692
angles (deg): 60.00 60.00 60.00
Closest atoms and distances in Å follow each position.
Sites, in units of the cell vectors:
Ag 0.3750 0.3750 0.8749  6 Ag 2.68-2.69
Ag 0.3750 0.8749 0.3750  6 Ag 2.68-2.69
Li 0.0000 0.0000 0.0000  12 Ag 3.15, 4 Al 3.29
Al 0.7500 0.7500 0.7500  12 Ag 3.15, 4 Li 3.29
Ag 0.3750 0.3750 0.3750  6 Ag 2.68-2.69
Ag 0.8749 0.3750 0.3750  6 Ag 2.68-2.69

***

[3]
Be3NbAg | SCAN | PBEsol geometry

ρ   5.45 g/cm³
Space group   No. 221
N(E_F)   1.7 states/eV per cell
Magnetic moment   0.00 μB/cell
Raw total energy   -74.0 eV per formula unit
Energy of formation from the pure elements   0.719 eV/atom

a b c (Å): 4.1104 4.1104 4.1104
angles (deg): 90.00 90.00 90.00
Closest atoms and distances in Å follow each position.
Sites, in units of the cell vectors:
Be 0.0000 0.5000 0.0000  2 Ag 2.06
Be 0.0000 0.0000 0.5000  2 Ag 2.06
Nb 0.5000 0.5000 0.5000  12 Be 2.91
Ag 0.0000 0.0000 0.0000  6 Be 2.06
Be 0.5000 0.0000 0.0000  2 Ag 2.06

***

[4]
MgTaIr2 | SCAN | PBEsol geometry

ρ   16.06 g/cm³
Space group   No. 139
N(E_F)   0.9 states/eV per cell
Magnetic moment   0.00 μB/cell
Raw total energy   -216.9 eV per formula unit
Energy of formation from the pure elements   -0.783 eV/atom
Energy above the most stable polymorph in this dataset   0.000 eV per formula unit

a b c (Å): 4.1968 4.5588 4.1968
angles (deg): 62.59 90.00 117.41
Closest atoms and distances in Å follow each position.
Sites, in units of the cell vectors:
Ir 0.7500 0.5000 0.7500  4 Ta 2.72, 4 Mg 2.72, 4 Ir 2.97
Mg 0.0000 0.0000 0.0000  8 Ir 2.72, 4 Ta 2.97
Ta 0.5000 0.0000 0.5000  8 Ir 2.72, 4 Mg 2.97
Ir 0.2500 0.5000 0.2500  4 Ta 2.72, 4 Mg 2.72, 4 Ir 2.97

***

[5]
LiCu2C2O6 | SCAN | PBEsol geometry

ρ   3.09 g/cm³
Space group   No. 2
Magnetic moment   1.97 μB/cell
Raw total energy   -105.0 eV per formula unit
Energy above the most stable polymorph in this dataset   0.000 eV per formula unit
Formation energy from raw total energies   -1329 meV/atom

a b c (Å): 5.5865 6.2962 7.7979
angles (deg): 91.21 94.24 88.64
Closest atoms and distances in Å follow each position.
Sites, in units of the cell vectors:
O 0.1418 0.4444 0.2550  1 C 1.31
O 0.3265 0.8874 0.2189  1 C 1.31
Cu 0.7000 0.9541 0.9824  3 O 1.87-2.09
O 0.2877 0.2030 0.8146  1 C 1.30
O 0.8582 0.5556 0.7450  1 C 1.31
Cu 0.3000 0.0459 0.0176  3 O 1.87-2.09
Li 0.9572 0.2789 0.8337  4 O 1.91-1.96
O 0.1905 0.7269 0.6792  1 C 1.27
Li 0.0428 0.7211 0.1663  4 O 1.91-1.96
C 0.5243 0.7873 0.2731  3 O 1.27-1.31
O 0.4722 0.3207 0.5912  1 C 1.27
C 0.4757 0.2127 0.7269  3 O 1.27-1.31
O 0.8095 0.2731 0.3208  1 C 1.27
O 0.0214 0.8011 0.9235  1 C 1.30
O 0.6735 0.1126 0.7811  1 C 1.31
C 0.0257 0.6953 0.7793  3 O 1.27-1.31
O 0.9786 0.1989 0.0765  1 C 1.30
O 0.5278 0.6793 0.4088  1 C 1.27
O 0.7123 0.7970 0.1854  1 C 1.30
Cu 0.2043 0.5570 0.4801  2 O 1.87-1.89
C 0.9743 0.3047 0.2207  3 O 1.27-1.31
Cu 0.7957 0.4430 0.5199  2 O 1.87-1.89

***

[6]
Cd2InAg | SCAN | PBEsol geometry

ρ   8.87 g/cm³
Space group   No. 71
N(E_F)   1.2 states/eV per cell
Magnetic moment   0.00 μB/cell
Raw total energy   -125.5 eV per formula unit
Energy of formation from the pure elements   0.014 eV/atom

a b c (Å): 2.9314 4.9704 6.4340
angles (deg): 112.72 103.17 90.00
Closest atoms and distances in Å follow each position.
Sites, in units of the cell vectors:
Cd 0.7201 0.7201 0.4401  2 Ag 2.92, 6 Cd 2.93-2.97
Ag 0.0000 0.5000 0.0000  4 In 2.89, 4 Cd 2.92, 2 Ag 2.93
Cd 0.2799 0.2799 0.5599  2 Ag 2.92, 6 Cd 2.93-2.97
In 0.5000 0.0000 0.0000  4 Ag 2.89, 2 In 2.93

***

[7]
Hg2PtW | SCAN | PBEsol geometry

ρ   18.43 g/cm³
Space group   No. 12
N(E_F)   3.0 states/eV per cell
Magnetic moment   0.00 μB/cell
Raw total energy   -273.7 eV per formula unit
Energy of formation from the pure elements   0.624 eV/atom
Energy above the most stable polymorph in this dataset   0.310 eV per formula unit

a b c (Å): 2.7839 5.1128 5.7047
angles (deg): 115.80 102.72 93.05
Closest atoms and distances in Å follow each position.
Sites, in units of the cell vectors:
W 0.0000 0.5000 0.0000  2 W 2.78, 4 Pt 2.85-2.98, 4 Hg 2.89
Hg 0.5000 0.5000 0.5000  6 Hg 2.78-2.98, 2 W 2.89, 2 Pt 2.89
Hg 0.0000 0.0000 0.5000  6 Hg 2.78-2.98, 2 W 2.89, 2 Pt 2.89
Pt 0.5000 0.0000 0.0000  2 Pt 2.78, 4 W 2.85-2.98, 4 Hg 2.89

***

[8]
LaNiSe4 | SCAN | PBEsol geometry

ρ   6.80 g/cm³
Space group   No. 216
N(E_F)   6.9 states/eV per cell
Magnetic moment   1.40 μB/cell
Raw total energy   -139.3 eV per formula unit
Formation energy from raw total energies   55 meV/atom

a b c (Å): 5.6179 5.6179 5.6179
angles (deg): 60.00 60.00 60.00
Closest atoms and distances in Å follow each position.
Sites, in units of the cell vectors:
Ni 0.0000 0.0000 0.0000  12 Se 3.29, 4 La 3.44
Se 0.8785 0.3738 0.3738  6 Se 2.78-2.84
Se 0.3738 0.8785 0.3738  6 Se 2.78-2.84
Se 0.3738 0.3738 0.8785  6 Se 2.78-2.84
Se 0.3738 0.3738 0.3738  6 Se 2.78-2.84
La 0.7500 0.7500 0.7500  12 Se 3.30, 4 Ni 3.44

***

[9]
CuAsCl2 | SCAN | PBEsol geometry

ρ   4.46 g/cm³
Space group   No. 65
N(E_F)   1.6 states/eV per cell
Magnetic moment   0.00 μB/cell
Raw total energy   -51.0 eV per formula unit
Energy above the most stable polymorph in this dataset   0.437 eV per formula unit
Formation energy from raw total energies   93 meV/atom

a b c (Å): 3.0308 5.0688 5.0688
angles (deg): 90.10 90.00 90.00
Closest atoms and distances in Å follow each position.
Sites, in units of the cell vectors:
Cu 0.0000 0.5000 0.5000  4 Cl 2.53
As 0.0000 0.0000 0.0000  4 Cl 2.53
Cl 0.0000 0.5000 0.0000  2 As 2.53, 2 Cu 2.53
Cl 0.0000 0.0000 0.5000  2 Cu 2.53, 2 As 2.53

***

[10]
LiCr2O3 | SCAN | PBEsol geometry

ρ   5.02 g/cm³
Space group   No. 15
N(E_F)   4.0 states/eV per cell
Magnetic moment   12.26 μB/cell
Raw total energy   -71.2 eV per formula unit
Formation energy from raw total energies   -2224 meV/atom

a b c (Å): 5.0389 5.0395 5.0611
angles (deg): 99.89 99.92 119.50
Closest atoms and distances in Å follow each position.
Sites, in units of the cell vectors:
Cr 0.2465 0.7536 0.7500  6 O 2.02-2.08
Cr 0.7535 0.2464 0.2500  6 O 2.02-2.08
O 0.1757 0.3522 0.4980  4 Cr 2.01-2.07, 2 Li 2.10-2.14
O 0.0000 0.5000 0.0000  4 Cr 2.04-2.08, 2 Li 2.06
Li 0.9180 0.0818 0.7501  6 O 2.06-2.14
O 0.3520 0.1755 0.9979  4 Cr 2.01-2.07, 2 Li 2.10-2.14
Cr 0.5849 0.4151 0.7500  6 O 2.01-2.07
O 0.6480 0.8244 0.0021  4 Cr 2.01-2.07, 2 Li 2.10-2.14
Li 0.0820 0.9182 0.2499  6 O 2.06-2.14
O 0.8243 0.6479 0.5020  4 Cr 2.01-2.07, 2 Li 2.10-2.14
O 0.5000 0.0000 0.5000  4 Cr 2.05-2.08, 2 Li 2.06
Cr 0.4151 0.5849 0.2500  6 O 2.01-2.07

***

[11]
LiAg2As | SCAN | PBEsol geometry

ρ   7.60 g/cm³
Space group   No. 12
N(E_F)   1.0 states/eV per cell
Magnetic moment   0.00 μB/cell
Raw total energy   -86.0 eV per formula unit
Energy of formation from the pure elements   -0.181 eV/atom

a b c (Å): 2.8984 4.8437 4.8969
angles (deg): 97.05 90.00 107.41
Closest atoms and distances in Å follow each position.
Sites, in units of the cell vectors:
Ag 0.7484 0.4969 0.7543  3 Li 2.73-2.87, 3 As 2.78-2.86, 6 Ag 2.81-2.90
Li 0.5000 0.0000 0.0000  6 Ag 2.73-2.87, 4 As 2.85, 2 Li 2.90
As 0.0000 0.0000 0.5000  6 Ag 2.78-2.86, 4 Li 2.85, 2 As 2.90
Ag 0.2516 0.5031 0.2457  3 Li 2.73-2.87, 3 As 2.78-2.86, 6 Ag 2.81-2.90

***

[12]
CuH3F | SCAN | PBEsol geometry

ρ   4.21 g/cm³
Space group   No. 221
N(E_F)   2.0 states/eV per cell
Magnetic moment   0.00 μB/cell
Raw total energy   -27.5 eV per formula unit

a b c (Å): 3.2311 3.2311 3.2311
angles (deg): 90.00 90.00 90.00
Closest atoms and distances in Å follow each position.
Sites, in units of the cell vectors:
H 0.0000 0.0000 0.5000  2 Cu 1.62
H 0.5000 0.0000 0.0000  2 Cu 1.62
Cu 0.0000 0.0000 0.0000  6 H 1.62
F 0.5000 0.5000 0.5000  12 H 2.28
H 0.0000 0.5000 0.0000  2 Cu 1.62

***

[13]
KY2Ir | SCAN | PBEsol geometry

ρ   7.12 g/cm³
Space group   No. 123
N(E_F)   5.5 states/eV per cell
Magnetic moment   0.08 μB/cell
Raw total energy   -134.0 eV per formula unit
Energy of formation from the pure elements   0.270 eV/atom
Energy above the most stable polymorph in this dataset   2.737 eV per formula unit

a b c (Å): 3.9063 4.9411 4.9411
angles (deg): 90.00 90.00 90.00
Closest atoms and distances in Å follow each position.
Sites, in units of the cell vectors:
K 0.5000 0.0000 0.0000  8 Y 3.15, 4 Ir 3.49
Ir 0.5000 0.5000 0.5000  8 Y 3.15, 4 K 3.49
Y 0.0000 0.0000 0.5000  4 K 3.15, 4 Ir 3.15, 4 Y 3.49
Y 0.0000 0.5000 0.0000  4 K 3.15, 4 Ir 3.15, 4 Y 3.49